Crystalline Al3Cl at its relaxed geometry, computed with PBE-GGA.

Theoretical density ... 2.364 Mg/m³
Formation energy from raw total energies ... 265 meV per atom
Total magnetic moment ... 0.00 μB/f.u.
VASP energy ... -3.004 eV per atom

a = 4.340 Å, b = 4.340 Å, c = 4.340 Å
α = 90.00°, β = 90.00°, γ = 90.00°
Positions (direct):
Al 0.000 0.000 0.500
Al 0.000 0.500 0.000
Al 0.500 0.000 0.000
Cl 0.500 0.500 0.500